Here is a relaxed Cr4CdMo crystal from Alexandria via LeMat-Bulk. Energies are from PBE-GGA.

Cell and atoms, written as CIF:
```
data_Cr4CdMo
_cell_length_a 6.8795
_cell_length_b 6.8795
_cell_length_c 6.8795
_cell_angle_alpha 90.00
_cell_angle_beta 90.00
_cell_angle_gamma 90.00
_space_group_name_H-M_alt 'F -4 3 m'
_space_group_IT_number 216
_space_group_name_Hall 'F -4 2 3'
loop_
_atom_site_label
_atom_site_type_symbol
_atom_site_fract_x
_atom_site_fract_y
_atom_site_fract_z
Cr1 Cr 0.1241 0.1241 0.3759
Cd1 Cd 0.2500 0.2500 0.7500
Mo1 Mo 0.0000 0.0000 0.0000
```

Summary:
Volume (Å³ per cell): 325.6
Formation energy (eV/atom): 0.2255

---

Here is a relaxed Cr3CdMo crystal from Alexandria via LeMat-Bulk. Energies are from PBE-GGA.

Cell and atoms, written as CIF:
```
data_Cr3CdMo
_cell_length_a 4.9219
_cell_length_b 4.9219
_cell_length_c 4.9219
_cell_angle_alpha 90.00
_cell_angle_beta 90.00
_cell_angle_gamma 90.00
_space_group_name_H-M_alt 'P m -3 m'
_space_group_IT_number 221
_space_group_name_Hall '-P 4 2 3'
loop_
_atom_site_label
_atom_site_type_symbol
_atom_site_fract_x
_atom_site_fract_y
_atom_site_fract_z
Cr1 Cr 0.0000 0.0000 0.5000
Cd1 Cd 0.0000 0.0000 0.0000
Mo1 Mo 0.5000 0.5000 0.5000
```

Summary:
Volume (Å³ per cell): 119.2
Formation energy (eV/atom): 2.0398

---

Here is a relaxed Cr2CdMo crystal from Alexandria via LeMat-Bulk. Energies are from PBE-GGA.

Cell and atoms, written as CIF:
```
data_Cr2CdMo
_cell_length_a 3.0638
_cell_length_b 4.3896
_cell_length_c 8.8483
_cell_angle_alpha 90.00
_cell_angle_beta 90.00
_cell_angle_gamma 90.00
_space_group_name_H-M_alt 'C m m 2'
_space_group_IT_number 35
_space_group_name_Hall 'C 2 -2'
loop_
_atom_site_label
_atom_site_type_symbol
_atom_site_fract_x
_atom_site_fract_y
_atom_site_fract_z
Cr1 Cr 0.0000 0.0000 0.0000
Cr2 Cr 0.0000 0.5000 0.2002
Cd1 Cd 0.0000 0.5000 0.7270
Mo1 Mo 0.0000 0.0000 0.4354
```

Summary:
Volume (Å³ per cell): 119.0
Formation energy (eV/atom): 0.3463

---

Here is a relaxed CrCd2Mo crystal from Alexandria via LeMat-Bulk. Energies are from PBE-GGA.

Cell and atoms, written as CIF:
```
data_CrCd2Mo
_cell_length_a 3.9682
_cell_length_b 3.9682
_cell_length_c 8.9619
_cell_angle_alpha 90.00
_cell_angle_beta 90.00
_cell_angle_gamma 90.00
_space_group_name_H-M_alt 'I 4/m m m'
_space_group_IT_number 139
_space_group_name_Hall '-I 4 2'
loop_
_atom_site_label
_atom_site_type_symbol
_atom_site_fract_x
_atom_site_fract_y
_atom_site_fract_z
Cr1 Cr 0.0000 0.0000 0.0000
Cd1 Cd 0.0000 0.5000 0.2500
Mo1 Mo 0.0000 0.0000 0.5000
```

Summary:
Volume (Å³ per cell): 141.1
Formation energy (eV/atom): 0.5199

---

Here is a relaxed CrCd3Mo crystal from Alexandria via LeMat-Bulk. Energies are from PBE-GGA.

Cell and atoms, written as CIF:
```
data_CrCd3Mo
_cell_length_a 4.9701
_cell_length_b 4.9701
_cell_length_c 4.9701
_cell_angle_alpha 90.00
_cell_angle_beta 90.00
_cell_angle_gamma 90.00
_space_group_name_H-M_alt 'P m -3 m'
_space_group_IT_number 221
_space_group_name_Hall '-P 4 2 3'
loop_
_atom_site_label
_atom_site_type_symbol
_atom_site_fract_x
_atom_site_fract_y
_atom_site_fract_z
Cr1 Cr 0.0000 0.0000 0.0000
Cd1 Cd 0.0000 0.0000 0.5000
Mo1 Mo 0.5000 0.5000 0.5000
```

Summary:
Volume (Å³ per cell): 122.8
Formation energy (eV/atom): 1.6282

---

Here is a relaxed Cr2CdMo crystal from Alexandria via LeMat-Bulk. Energies are from PBE-GGA.

Cell and atoms, written as CIF:
```
data_Cr2CdMo
_cell_length_a 9.9249
_cell_length_b 2.9908
_cell_length_c 4.4304
_cell_angle_alpha 90.00
_cell_angle_beta 116.43
_cell_angle_gamma 90.00
_space_group_name_H-M_alt 'C 1 m 1'
_space_group_IT_number 8
_space_group_name_Hall 'C -2y'
loop_
_atom_site_label
_atom_site_type_symbol
_atom_site_fract_x
_atom_site_fract_y
_atom_site_fract_z
Cr1 Cr 0.0000 0.0000 0.0000
Cr2 Cr 0.2002 0.5000 0.2005
Cd1 Cd 0.4666 0.0000 0.4666
Mo1 Mo 0.2467 0.0000 0.7472
```

Summary:
Volume (Å³ per cell): 117.8
Formation energy (eV/atom): 0.4665

---

Here is a relaxed Cr2CdMo crystal from Alexandria via LeMat-Bulk. Energies are from PBE-GGA.

Cell and atoms, written as CIF:
```
data_Cr2CdMo
_cell_length_a 5.5745
_cell_length_b 8.1147
_cell_length_c 2.6212
_cell_angle_alpha 90.00
_cell_angle_beta 90.00
_cell_angle_gamma 90.00
_space_group_name_H-M_alt 'C m m m'
_space_group_IT_number 65
_space_group_name_Hall '-C 2 2'
loop_
_atom_site_label
_atom_site_type_symbol
_atom_site_fract_x
_atom_site_fract_y
_atom_site_fract_z
Cr1 Cr 0.2500 0.2500 0.0000
Cd1 Cd 0.0000 0.0000 0.5000
Mo1 Mo 0.0000 0.5000 0.5000
```

Summary:
Volume (Å³ per cell): 118.6
Formation energy (eV/atom): 0.6422

---

Here is a relaxed CrCd2Mo crystal from Alexandria via LeMat-Bulk. Energies are from PBE-GGA.

Cell and atoms, written as CIF:
```
data_CrCd2Mo
_cell_length_a 4.3144
_cell_length_b 4.3144
_cell_length_c 7.6249
_cell_angle_alpha 90.00
_cell_angle_beta 90.00
_cell_angle_gamma 90.00
_space_group_name_H-M_alt 'I -4 m 2'
_space_group_IT_number 119
_space_group_name_Hall 'I -4 -2'
loop_
_atom_site_label
_atom_site_type_symbol
_atom_site_fract_x
_atom_site_fract_y
_atom_site_fract_z
Cr1 Cr 0.0000 0.0000 0.0000
Cd1 Cd 0.0000 0.0000 0.5000
Cd2 Cd 0.0000 0.5000 0.2500
Mo1 Mo 0.0000 0.5000 0.7500
```

Summary:
Volume (Å³ per cell): 141.9
Formation energy (eV/atom): 0.5490

---

Here is a relaxed CrCdMo4 crystal from Alexandria via LeMat-Bulk. Energies are from PBE-GGA.

Cell and atoms, written as CIF:
```
data_CrCdMo4
_cell_length_a 7.3816
_cell_length_b 7.3816
_cell_length_c 7.3816
_cell_angle_alpha 90.00
_cell_angle_beta 90.00
_cell_angle_gamma 90.00
_space_group_name_H-M_alt 'F -4 3 m'
_space_group_IT_number 216
_space_group_name_Hall 'F -4 2 3'
loop_
_atom_site_label
_atom_site_type_symbol
_atom_site_fract_x
_atom_site_fract_y
_atom_site_fract_z
Cr1 Cr 0.0000 0.0000 0.0000
Cd1 Cd 0.2500 0.2500 0.7500
Mo1 Mo 0.1247 0.1247 0.3753
```

Summary:
Volume (Å³ per cell): 402.2
Formation energy (eV/atom): 0.5158

---

Here is a relaxed CrCd2Mo crystal from Alexandria via LeMat-Bulk. Energies are from PBE-GGA.

Cell and atoms, written as CIF:
```
data_CrCd2Mo
_cell_length_a 6.4770
_cell_length_b 6.4770
_cell_length_c 6.4770
_cell_angle_alpha 90.00
_cell_angle_beta 90.00
_cell_angle_gamma 90.00
_space_group_name_H-M_alt 'F m -3 m'
_space_group_IT_number 225
_space_group_name_Hall '-F 4 2 3'
loop_
_atom_site_label
_atom_site_type_symbol
_atom_site_fract_x
_atom_site_fract_y
_atom_site_fract_z
Cr1 Cr 0.0000 0.0000 0.0000
Cd1 Cd 0.2500 0.2500 0.2500
Mo1 Mo 0.0000 0.0000 0.5000
```

Summary:
Volume (Å³ per cell): 271.7
Formation energy (eV/atom): 0.9159

---

Here is a relaxed CrCdMo3 crystal from Alexandria via LeMat-Bulk. Energies are from PBE-GGA.

Cell and atoms, written as CIF:
```
data_CrCdMo3
_cell_length_a 4.5231
_cell_length_b 4.5231
_cell_length_c 4.5231
_cell_angle_alpha 90.00
_cell_angle_beta 90.00
_cell_angle_gamma 90.00
_space_group_name_H-M_alt 'P m -3 m'
_space_group_IT_number 221
_space_group_name_Hall '-P 4 2 3'
loop_
_atom_site_label
_atom_site_type_symbol
_atom_site_fract_x
_atom_site_fract_y
_atom_site_fract_z
Cr1 Cr 0.0000 0.0000 0.0000
Cd1 Cd 0.5000 0.5000 0.5000
Mo1 Mo 0.0000 0.0000 0.5000
```

Summary:
Volume (Å³ per cell): 92.5
Formation energy (eV/atom): 1.1232

---

Here is a relaxed CrCd2Mo crystal from Alexandria via LeMat-Bulk. Energies are from PBE-GGA.

Cell and atoms, written as CIF:
```
data_CrCd2Mo
_cell_length_a 9.2806
_cell_length_b 2.7328
_cell_length_c 5.4006
_cell_angle_alpha 90.00
_cell_angle_beta 94.37
_cell_angle_gamma 90.00
_space_group_name_H-M_alt 'C 1 m 1'
_space_group_IT_number 8
_space_group_name_Hall 'C -2y'
loop_
_atom_site_label
_atom_site_type_symbol
_atom_site_fract_x
_atom_site_fract_y
_atom_site_fract_z
Cr1 Cr 0.0000 0.0000 0.0000
Cd1 Cd 0.0062 0.5000 0.4692
Cd2 Cd 0.2570 0.0000 0.7125
Mo1 Mo 0.2588 0.5000 0.1849
```

Summary:
Volume (Å³ per cell): 136.6
Formation energy (eV/atom): 0.5557

---

- Which of these has the lowest formation energy?
  Cr4CdMo

---

Repeat the sixth record exactly.
Here is a relaxed Cr2CdMo crystal from Alexandria via LeMat-Bulk. Energies are from PBE-GGA.

Cell and atoms, written as CIF:
```
data_Cr2CdMo
_cell_length_a 9.9249
_cell_length_b 2.9908
_cell_length_c 4.4304
_cell_angle_alpha 90.00
_cell_angle_beta 116.43
_cell_angle_gamma 90.00
_space_group_name_H-M_alt 'C 1 m 1'
_space_group_IT_number 8
_space_group_name_Hall 'C -2y'
loop_
_atom_site_label
_atom_site_type_symbol
_atom_site_fract_x
_atom_site_fract_y
_atom_site_fract_z
Cr1 Cr 0.0000 0.0000 0.0000
Cr2 Cr 0.2002 0.5000 0.2005
Cd1 Cd 0.4666 0.0000 0.4666
Mo1 Mo 0.2467 0.0000 0.7472
```

Summary:
Volume (Å³ per cell): 117.8
Formation energy (eV/atom): 0.4665